# Ca2TlBO5

A relaxed structure of Ca2TlBO5 (PBE, Alexandria).

For the total energy, the calculation gives -6.26 eV/atom. The value obtained for the density of states at the Fermi level is 0.0 states/eV/cell. The uncorrected formation energy is -2056.5 meV per atom. The calculated volume is 113.4 Å³/f.u.

It has space group Cmc2_1 (No. 36), with a = 3.1930 Å, b = 13.8676 Å, c = 10.2437 Å, α = 90.00°, β = 90.00° and γ = 90.00°. Symmetry generates all atoms from Ca at (0.0000, 0.1098, 0.0000), Ca at (0.0000, 0.1283, 0.6760), Tl at (0.0000, 0.1875, 0.3761), B at (0.0000, 0.4469, 0.7213), O at (0.0000, 0.0299, 0.3094), O at (0.0000, 0.2942, 0.0292), O at (0.0000, 0.3447, 0.3446), O at (0.0000, 0.3462, 0.7048) and O at (0.0000, 0.4950, 0.1126).



# YCo2Br2

A relaxed structure of YCo2Br2 (PBE, Alexandria).

The value obtained for the energy above the most stable polymorph in this dataset is 0.00 kcal/mol of atoms. For the total energy, the calculation gives -4.80 eV/atom. The value obtained for the density of states at the Fermi level is 4.4 states/eV/cell. The uncorrected formation energy is 3.1 meV per atom. The calculated volume is 100.0 Å³/f.u.

It has space group I4/mmm (No. 139), with a = 4.4261 Å, b = 4.4261 Å, c = 10.2142 Å, α = 90.00°, β = 90.00° and γ = 90.00°. Symmetry generates all atoms from Y at (0.0000, 0.0000, 0.0000), Co at (0.0000, 0.0000, 0.3941) and Br at (0.0000, 0.5000, 0.2500).



# RbZr3W

A relaxed structure of RbZr3W (PBE, Alexandria).

The value obtained for the energy above the most stable polymorph in this dataset is 35.83 kcal/mol of atoms. For the total energy, the calculation gives -5.38 eV/atom. The value obtained for the density of states at the Fermi level is 8.5 states/eV/cell. For the energy of formation, the calculation gives 12.68 eV per formula unit. The calculated volume is 119.2 Å³/f.u.

It has space group Pm-3m (No. 221), with a = 4.9208 Å, b = 4.9208 Å, c = 4.9208 Å, α = 90.00°, β = 90.00° and γ = 90.00°. Symmetry generates all atoms from Rb at (0.0000, 0.0000, 0.0000), Zr at (0.0000, 0.0000, 0.5000) and W at (0.5000, 0.5000, 0.5000).



# Ce3Ho3TmTe8

A relaxed structure of Ce3Ho3TmTe8 (PBE, Alexandria).

For the total energy, the calculation gives -5.44 eV/atom. The value obtained for the density of states at the Fermi level is 70.5 states/eV/cell. The uncorrected formation energy is -1360.8 meV per atom. The calculated volume is 481.7 Å³/f.u.

It has space group R-3m (No. 166, hexagonal axes), with a = 8.7530 Å, b = 8.7530 Å, c = 21.7813 Å, α = 90.00°, β = 90.00° and γ = 120.00°. Symmetry generates all atoms from Ce at (0.0000, 0.5000, 0.0000), Ho at (0.0000, 0.5000, 0.5000), Tm at (0.0000, 0.0000, 0.5000), Te at (0.0000, 0.0000, 0.2459) and Te at (0.0057, 0.5029, 0.7529).



# Sm6Al2Os

A relaxed structure of Sm6Al2Os (PBE, Alexandria).

For the total energy, the calculation gives -5.27 eV/atom. The value obtained for the density of states at the Fermi level is 22.1 states/eV/cell. For the energy of formation, the calculation gives -0.38 eV per formula unit. The calculated volume is 276.4 Å³/f.u.

It has space group Immm (No. 71), with a = 5.1189 Å, b = 7.1875 Å, c = 15.0253 Å, α = 90.00°, β = 90.00° and γ = 90.00°. Symmetry generates all atoms from Sm at (0.0000, 0.2345, 0.0000), Sm at (0.0000, 0.2567, 0.3434), Al at (0.0000, 0.5000, 0.1675) and Os at (0.0000, 0.5000, 0.5000).



# AsBr5

A relaxed structure of AsBr5 (PBE, Alexandria).

For the total energy, the calculation gives -2.09 eV/atom. The value obtained for the density of states at the Fermi level is 9.3 states/eV/cell. The uncorrected formation energy is 76.4 meV per atom. The calculated volume is 218.9 Å³/f.u.

It has space group Amm2 (No. 38), with a = 5.2745 Å, b = 3.8547 Å, c = 21.5287 Å, α = 90.00°, β = 90.00° and γ = 90.00°. Symmetry generates all atoms from As at (0.0000, 0.0000, 0.0000), Br at (0.0000, 0.0000, 0.4191), Br at (0.0000, 0.0000, 0.6085), Br at (0.5000, 0.0000, 0.2980), Br at (0.5000, 0.0000, 0.6319) and Br at (0.5000, 0.0000, 0.9920).